No. 1
A geometry-optimized Li5Fe5Sb2O12 structure, computed with PBE+U.

Structure (POSCAR):
```
Li5Fe5Sb2O12
1.0
-0.137 3.885 -3.809
-3.642 -4.042 0.136
-7.689 5.500 4.223
Li Fe Sb O
5 5 2 12
Direct
0.831 0.656 0.249
0.673 0.842 0.747
0.344 0.169 0.751
0.158 0.327 0.253
0.082 0.918 0.500
0.919 0.081 0.000
0.006 0.513 0.743
0.487 0.994 0.257
0.579 0.421 0.000
0.425 0.575 0.500
0.750 0.250 0.500
0.249 0.751 0.000
0.018 0.219 0.613
0.781 0.982 0.387
0.862 0.365 0.124
0.635 0.138 0.876
0.710 0.512 0.613
0.488 0.290 0.387
0.529 0.712 0.121
0.288 0.471 0.879
0.390 0.883 0.622
0.117 0.610 0.378
0.209 0.031 0.123
0.969 0.791 0.877
```

Computed properties:
The value obtained for the final energy is -0.220 Ha/atom.

***

No. 2
A geometry-optimized Li5Fe3Sb2O10 structure, computed with PBE+U.

Structure (POSCAR):
```
Li5Fe3Sb2O10
1.0
5.411 0.051 0.031
-0.954 5.259 -0.008
-1.812 -2.973 7.418
Li Fe Sb O
5 3 2 10
Direct
0.243 0.884 0.392
0.379 0.298 0.787
0.500 0.500 0.500
0.621 0.702 0.213
0.757 0.116 0.608
0.000 0.500 0.000
0.693 0.899 0.893
0.307 0.101 0.107
0.104 0.721 0.699
0.896 0.279 0.301
0.047 0.091 0.840
0.333 0.709 0.935
0.145 0.336 0.551
0.219 0.471 0.238
0.429 0.906 0.653
0.571 0.094 0.347
0.781 0.529 0.762
0.855 0.664 0.449
0.667 0.291 0.065
0.953 0.909 0.160
```

Computed properties:
As for the relative energy among the computed polymorphs: 2.4 kJ/mol of atoms. The value obtained for the final energy is -0.215 Ha/atom.

***

No. 3
A geometry-optimized Li4Ti3Fe3Sb2O16 structure, computed with PBE+U.

Structure (POSCAR):
```
Li4Ti3Fe3Sb2O16
1.0
2.984 5.233 0.016
-2.984 5.233 0.016
0.000 0.139 9.763
Li Ti Fe Sb O
4 3 3 2 16
Direct
0.661 0.661 0.104
0.998 0.998 0.020
0.001 0.001 0.505
0.332 0.332 0.592
0.343 0.837 0.786
0.837 0.343 0.786
0.174 0.174 0.282
0.829 0.829 0.788
0.168 0.655 0.289
0.655 0.168 0.289
0.671 0.671 0.505
0.343 0.343 0.018
0.340 0.838 0.404
0.522 0.522 0.661
0.650 0.650 0.895
0.012 0.012 0.697
0.008 0.008 0.204
0.838 0.340 0.404
0.506 0.957 0.655
0.957 0.506 0.655
0.174 0.174 0.894
0.838 0.838 0.415
0.035 0.472 0.147
0.472 0.035 0.147
0.319 0.319 0.395
0.177 0.671 0.902
0.482 0.482 0.152
0.671 0.177 0.902
```

Computed properties:
The value obtained for the final energy is -0.251 Ha/atom.

***

No. 4
A geometry-optimized Li4V3Fe2Sb3O16 structure, computed with PBE+U.

Structure (POSCAR):
```
Li4V3Fe2Sb3O16
1.0
-3.806 -3.770 -3.039
-0.165 0.073 -6.157
7.155 -6.936 -0.196
Li V Fe Sb O
4 3 2 3 16
Direct
0.335 0.335 0.131
0.011 0.011 0.009
0.005 0.005 0.495
0.673 0.673 0.597
0.170 0.170 0.783
0.336 0.825 0.285
0.825 0.336 0.285
0.321 0.321 0.484
0.657 0.657 0.021
0.169 0.664 0.784
0.664 0.169 0.784
0.829 0.829 0.285
0.151 0.686 0.397
0.486 0.486 0.669
0.340 0.340 0.896
0.997 0.997 0.679
0.992 0.992 0.186
0.686 0.151 0.397
0.031 0.489 0.676
0.489 0.031 0.676
0.849 0.849 0.896
0.154 0.154 0.392
0.518 0.964 0.168
0.964 0.518 0.168
0.672 0.672 0.397
0.311 0.842 0.890
0.514 0.514 0.172
0.842 0.311 0.890
```

Computed properties:
The value obtained for the final energy is -0.239 Ha/atom.

***

No. 5
A geometry-optimized Li4FeSbW2O12 structure, computed with PBE+U.

Structure (POSCAR):
```
Li4FeSbW2O12
1.0
-1.384 -4.848 1.125
2.028 -1.693 -4.771
6.862 -1.323 2.765
Li Fe Sb W O
4 1 1 2 12
Direct
0.004 0.559 0.299
0.494 0.082 0.771
0.996 0.440 0.711
0.502 0.094 0.302
0.498 0.513 0.502
0.003 0.001 0.005
0.996 0.998 0.503
0.505 0.507 0.001
0.696 0.817 0.437
0.873 0.007 0.752
0.686 0.189 0.065
0.808 0.300 0.443
0.202 0.304 0.926
0.619 0.489 0.759
0.379 0.487 0.238
0.815 0.683 0.066
0.173 0.689 0.552
0.317 0.809 0.933
0.132 0.990 0.253
0.299 0.185 0.554
```

Computed properties:
The value obtained for the final energy is -0.238 Ha/atom.

***

No. 6
A geometry-optimized LiSc4Fe4O12 structure, computed with PBE+U.

Structure (POSCAR):
```
LiSc4Fe4O12
1.0
5.264 -0.104 -0.173
0.191 5.141 -0.049
0.306 0.085 9.013
Li Sc Fe O
1 4 4 12
Direct
0.860 0.010 0.004
0.023 0.011 0.308
0.509 0.481 0.201
0.510 0.478 0.804
0.022 0.010 0.698
0.002 0.500 0.003
0.887 0.561 0.502
0.381 0.945 0.001
0.500 0.003 0.503
0.177 0.738 0.846
0.172 0.788 0.502
0.175 0.742 0.159
0.352 0.210 0.337
0.339 0.315 0.003
0.353 0.207 0.670
0.697 0.742 0.350
0.675 0.699 0.002
0.698 0.740 0.655
0.846 0.259 0.845
0.838 0.199 0.503
0.846 0.261 0.162
```

Computed properties:
As for the relative energy among the computed polymorphs: 0.0 kJ/mol of atoms. The value obtained for the final energy is -0.280 Ha/atom.

***

No. 7
A geometry-optimized LiSc4Fe4O12 structure, computed with PBE+U.

Structure (POSCAR):
```
LiSc4Fe4O12
1.0
-2.434 -1.229 -4.531
4.711 0.286 -2.222
0.758 -8.490 0.978
Li Sc Fe O
1 4 4 12
Direct
0.693 0.938 0.072
0.976 0.032 0.701
0.550 0.542 0.808
0.493 0.430 0.215
0.010 0.945 0.309
0.998 0.494 0.006
0.005 0.487 0.504
0.302 0.026 0.937
0.503 0.992 0.507
0.824 0.657 0.189
0.829 0.786 0.530
0.866 0.771 0.874
0.743 0.309 0.639
0.658 0.288 0.980
0.667 0.134 0.303
0.365 0.868 0.733
0.350 0.706 0.031
0.269 0.667 0.378
0.167 0.193 0.126
0.174 0.184 0.484
0.195 0.314 0.826
```

Computed properties:
As for the relative energy among the computed polymorphs: 6.9 kJ/mol of atoms. The value obtained for the final energy is -0.278 Ha/atom.

***

No. 8
A geometry-optimized LiSc4Fe4O12 structure, computed with PBE+U.

Structure (POSCAR):
```
LiSc4Fe4O12
1.0
-5.055 0.425 -1.181
0.965 -3.602 -3.969
-2.815 -5.723 5.232
Li Sc Fe O
1 4 4 12
Direct
0.877 0.695 0.380
0.995 0.126 0.243
0.428 0.583 0.228
0.531 0.446 0.793
0.957 0.917 0.717
0.995 0.540 0.996
0.092 0.421 0.576
0.527 0.030 0.030
0.479 0.029 0.470
0.192 0.630 0.777
0.235 0.741 0.455
0.177 0.819 0.123
0.293 0.277 0.368
0.295 0.334 0.041
0.302 0.160 0.671
0.652 0.909 0.263
0.709 0.729 0.929
0.767 0.602 0.604
0.805 0.223 0.866
0.840 0.107 0.513
0.801 0.430 0.207
```

Computed properties:
As for the relative energy among the computed polymorphs: 11.3 kJ/mol of atoms. The value obtained for the final energy is -0.276 Ha/atom.

***

What did the second record say?
A geometry-optimized Li5Fe3Sb2O10 structure, computed with PBE+U.

Structure (POSCAR):
```
Li5Fe3Sb2O10
1.0
5.411 0.051 0.031
-0.954 5.259 -0.008
-1.812 -2.973 7.418
Li Fe Sb O
5 3 2 10
Direct
0.243 0.884 0.392
0.379 0.298 0.787
0.500 0.500 0.500
0.621 0.702 0.213
0.757 0.116 0.608
0.000 0.500 0.000
0.693 0.899 0.893
0.307 0.101 0.107
0.104 0.721 0.699
0.896 0.279 0.301
0.047 0.091 0.840
0.333 0.709 0.935
0.145 0.336 0.551
0.219 0.471 0.238
0.429 0.906 0.653
0.571 0.094 0.347
0.781 0.529 0.762
0.855 0.664 0.449
0.667 0.291 0.065
0.953 0.909 0.160
```

Computed properties:
As for the relative energy among the computed polymorphs: 2.4 kJ/mol of atoms. The value obtained for the final energy is -0.215 Ha/atom.

***

What did the third record say?
A geometry-optimized Li4Ti3Fe3Sb2O16 structure, computed with PBE+U.

Structure (POSCAR):
```
Li4Ti3Fe3Sb2O16
1.0
2.984 5.233 0.016
-2.984 5.233 0.016
0.000 0.139 9.763
Li Ti Fe Sb O
4 3 3 2 16
Direct
0.661 0.661 0.104
0.998 0.998 0.020
0.001 0.001 0.505
0.332 0.332 0.592
0.343 0.837 0.786
0.837 0.343 0.786
0.174 0.174 0.282
0.829 0.829 0.788
0.168 0.655 0.289
0.655 0.168 0.289
0.671 0.671 0.505
0.343 0.343 0.018
0.340 0.838 0.404
0.522 0.522 0.661
0.650 0.650 0.895
0.012 0.012 0.697
0.008 0.008 0.204
0.838 0.340 0.404
0.506 0.957 0.655
0.957 0.506 0.655
0.174 0.174 0.894
0.838 0.838 0.415
0.035 0.472 0.147
0.472 0.035 0.147
0.319 0.319 0.395
0.177 0.671 0.902
0.482 0.482 0.152
0.671 0.177 0.902
```

Computed properties:
The value obtained for the final energy is -0.251 Ha/atom.